Record 1
SbPd2I: optimized geometry, PBE.

Values from the calculation:
- formation energy from raw total energies (kJ/mol of formula units) = -19
- distance to the lowest polymorph of the same formula (eV/f.u.) = 0.62
- SG = I-42d, No. 122

abc: 6.7592 6.7592 6.7393
angles: 59.90 59.90 90.00
Element x y z (fractional)
I: 0.0000 0.0000 0.0000
I: 0.7500 0.2500 0.5000
Sb: 0.5000 0.5000 0.0000
Sb: 0.2500 0.7500 0.5000
Pd: 0.6032 0.1250 0.2500
Pd: 0.1468 0.6250 0.2500
Pd: 0.3750 0.3968 0.7500
Pd: 0.8750 0.8532 0.7500

---

Record 2
NaAcSmIr: optimized geometry, PBE.

Values from the calculation:
- DFT total energy (eV/f.u.) = -19.5
- SG = F-43m, No. 216

abc: 5.3081 5.3081 5.3081
angles: 60.00 60.00 60.00
Element x y z (fractional)
Na: 0.0000 0.0000 0.0000
Ac: 0.7500 0.7500 0.7500
Ir: 0.5000 0.5000 0.5000
Sm: 0.2500 0.2500 0.2500

---

Record 3
HfAg3Pd: optimized geometry, PBE.

Values from the calculation:
- distance to the lowest polymorph of the same formula (eV/f.u.) = 2.12
- SG = Pm-3m, No. 221

abc: 5.1392 5.1392 5.1392
angles: 90.00 90.00 90.00
Element x y z (fractional)
Hf: 0.0000 0.0000 0.0000
Pd: 0.5000 0.5000 0.5000
Ag: 0.0000 0.5000 0.0000
Ag: 0.0000 0.0000 0.5000
Ag: 0.5000 0.0000 0.0000

---

Record 4
TbPdI2: optimized geometry, PBE.

Values from the calculation:
- formation energy from raw total energies (kJ/mol of formula units) = -193
- SG = R-3m, No. 166

abc: 3.9911 3.9911 9.6229
angles: 78.03 78.03 60.00
Element x y z (fractional)
I: 0.0927 0.0927 0.7218
I: 0.9073 0.9073 0.2782
Tb: 0.5000 0.5000 0.5000
Pd: 0.0000 0.0000 0.0000

---

Record 5
Zr5Co2Ir: optimized geometry, PBE.

Values from the calculation:
- DFT total energy (eV/f.u.) = -69.2
- SG = I4/mcm, No. 140

abc: 6.6392 6.6392 8.2440
angles: 113.74 113.74 90.00
Element x y z (fractional)
Zr: 0.5232 0.6849 0.7080
Zr: 0.8151 0.9768 0.2920
Zr: 0.0000 0.0000 0.0000
Zr: 0.5000 0.5000 0.0000
Zr: 0.1849 0.0232 0.7080
Zr: 0.6849 0.1849 0.7080
Zr: 0.0232 0.5232 0.7080
Zr: 0.3151 0.8151 0.2920
Zr: 0.9768 0.4768 0.2920
Zr: 0.4768 0.3151 0.2920
Co: 0.1295 0.3705 0.0000
Co: 0.6295 0.1295 0.0000
Co: 0.3705 0.8705 0.0000
Co: 0.8705 0.6295 0.0000
Ir: 0.7500 0.7500 0.5000
Ir: 0.2500 0.2500 0.5000

---

Record 6
LiB4C4: optimized geometry, PBE.

Values from the calculation:
- distance to the lowest polymorph of the same formula (eV/f.u.) = 1.35
- SG = Pmna, No. 53

abc: 4.5983 5.4427 7.3522
angles: 90.00 90.00 90.00
Element x y z (fractional)
C: 0.1703 0.2500 0.7510
C: 0.8297 0.2500 0.2490
C: 0.6696 0.5000 0.7500
C: 0.3304 0.5000 0.2500
C: 0.1703 0.7500 0.7490
C: 0.8297 0.7500 0.2510
C: 0.6696 0.0000 0.7500
C: 0.3304 0.0000 0.2500
B: 0.1749 0.2500 0.2564
B: 0.8251 0.2500 0.7436
B: 0.6777 0.5000 0.2500
B: 0.3223 0.5000 0.7500
B: 0.1749 0.7500 0.2436
B: 0.8251 0.7500 0.7564
B: 0.6777 0.0000 0.2500
B: 0.3223 0.0000 0.7500
Li: 0.5000 0.2500 0.0000
Li: 0.5000 0.7500 0.5000

---

Record 7
La3TbPr3: optimized geometry, PBE.

Values from the calculation:
- distance to the lowest polymorph of the same formula (eV/f.u.) = 1.20
- SG = R-3, No. 148

abc: 9.0184 9.0184 9.0184
angles: 59.62 59.62 59.62
Element x y z (fractional)
La: 0.6996 0.1904 0.9401
La: 0.1904 0.9401 0.6996
La: 0.9401 0.6996 0.1904
La: 0.0599 0.3004 0.8096
La: 0.8096 0.0599 0.3004
La: 0.3004 0.8096 0.0599
Tb: 0.3493 0.3493 0.3493
Tb: 0.6507 0.6507 0.6507
Pr: 0.7230 0.5664 0.0669
Pr: 0.0669 0.7230 0.5664
Pr: 0.5664 0.0669 0.7230
Pr: 0.4336 0.9331 0.2770
Pr: 0.9331 0.2770 0.4336
Pr: 0.2770 0.4336 0.9331

---

Theoretical density values, unit g cm⁻³, following the record order: 7.1; 9.3; 7.4; 6.7; 8.5; 1.8; 6.4.
Calculated volume values, unit Å³/cell, following the record order: 217; 106; 136; 129; 299; 184; 514.